[1]
Ba3Y PBE relaxed; M_tot = 0.00 μB/f.u.; energy of formation from the pure elements = 16.2 kJ/mol of atoms; space-group type = No. 123
1.0
4.4875 0.0000 0.0000
0.0000 4.4875 0.0000
0.0000 0.0000 10.5320
Ba Y
3 1
Cartesian
0.0000 0.0000 0.0000
2.2438 2.2438 3.0435
2.2438 2.2438 7.4885
0.0000 0.0000 5.2660

=====

[2]
BaY5 PBE relaxed; M_tot = 0.00 μB/f.u.; energy of formation from the pure elements = 15.7 kJ/mol of atoms; space-group type = No. 65
1.0
2.6117 -7.8103 0.0000
2.6117 7.8103 0.0000
0.0000 0.0000 5.2003
Ba Y
1 5
Cartesian
0.0000 0.0000 0.0000
2.6117 5.0842 2.6002
2.6117 2.7149 0.0000
2.6117 0.0000 2.6002
2.6117 -2.7149 0.0000
2.6117 -5.0842 2.6002

=====

[3]
Ba3Y PBE relaxed; M_tot = 0.00 μB/f.u.; energy of formation from the pure elements = 20.3 kJ/mol of atoms; space-group type = No. 225
1.0
0.0000 4.6861 4.6861
4.6861 0.0000 4.6861
4.6861 4.6861 0.0000
Ba Y
3 1
Cartesian
0.0000 0.0000 0.0000
2.3430 2.3430 2.3430
7.0291 7.0291 7.0291
4.6861 4.6861 4.6861

=====

[4]
BaY5 PBE relaxed; M_tot = 0.19 μB/f.u.; energy of formation from the pure elements = 12.1 kJ/mol of atoms; space-group type = No. 8
1.0
6.7433 -1.8582 0.0000
6.7433 1.8582 0.0000
-2.0667 0.0000 8.4924
Ba Y
1 5
Cartesian
0.0000 0.0000 0.0000
-0.4899 0.0000 5.1053
3.0408 0.0000 5.5361
4.5221 0.0000 2.4524
8.3371 0.0000 2.9008
7.8643 0.0000 7.9107

=====

[5]
Ba3Y PBE relaxed; M_tot = 0.00 μB/f.u.; energy of formation from the pure elements = 22.2 kJ/mol of atoms; space-group type = No. 65
1.0
4.1401 -5.9427 0.0000
4.1401 5.9427 0.0000
0.0000 0.0000 4.1283
Ba Y
3 1
Cartesian
0.0000 0.0000 0.0000
2.0700 2.9713 2.0642
2.0700 -2.9713 2.0642
4.1401 0.0000 0.0000

=====

[6]
Ba5Y3 PBE relaxed; M_tot = 1.71 μB/f.u.; energy of formation from the pure elements = 34.8 kJ/mol of atoms; space-group type = No. 193
1.0
11.2865 0.0000 0.0000
-5.6432 9.7744 0.0000
0.0000 0.0000 7.2714
Ba Y
10 6
Cartesian
-1.3533 2.3439 1.8178
-4.2900 7.4305 5.4535
2.7065 0.0000 1.8178
1.3533 2.3439 5.4535
0.0000 6.5162 0.0000
0.0000 6.5162 3.6357
5.6432 3.2581 0.0000
5.6432 3.2581 3.6357
8.5800 0.0000 5.4535
4.2900 7.4305 1.8178
-2.4006 4.1580 5.4535
-3.2426 5.6164 1.8178
4.8012 0.0000 5.4535
2.4006 4.1580 1.8178
6.4852 0.0000 1.8178
3.2426 5.6164 5.4535

=====

[7]
Ba3Y PBE relaxed; M_tot = 0.00 μB/f.u.; energy of formation from the pure elements = 20.6 kJ/mol of atoms; space-group type = No. 25
1.0
4.1002 0.0000 0.0000
0.0000 6.7568 0.0000
0.0000 0.0000 7.3351
Ba Y
3 1
Cartesian
0.0000 0.0000 0.0000
0.0000 3.3784 2.4238
2.0501 0.0000 3.8288
2.0501 3.3784 6.0677

=====

[8]
Ba4Y PBE relaxed; M_tot = 0.00 μB/f.u.; energy of formation from the pure elements = 43.2 kJ/mol of atoms; space-group type = No. 221
1.0
6.7413 0.0000 0.0000
0.0000 6.7413 0.0000
0.0000 0.0000 6.7413
Ba Y
4 1
Cartesian
0.0000 0.0000 0.0000
0.0000 3.3706 3.3706
3.3706 0.0000 3.3706
3.3706 3.3706 0.0000
3.3706 3.3706 3.3706

=====

[9]
BaY5 PBE relaxed; M_tot = 0.00 μB/f.u.; energy of formation from the pure elements = 29.9 kJ/mol of atoms; space-group type = No. 216
1.0
0.0000 4.8370 4.8370
4.8370 0.0000 4.8370
4.8370 4.8370 0.0000
Ba Y
1 5
Cartesian
0.0000 0.0000 0.0000
3.6591 3.6591 3.6591
6.0150 6.0150 3.6591
6.0150 3.6591 6.0150
7.2556 7.2556 7.2556
3.6591 6.0150 6.0150

=====

[10]
Ba3Y PBE relaxed; M_tot = 0.00 μB/f.u.; energy of formation from the pure elements = 22.3 kJ/mol of atoms; space-group type = No. 139
1.0
-2.9481 2.9481 11.8471
2.9481 -2.9481 11.8471
2.9481 2.9481 -11.8471
Ba Y
6 2
Cartesian
2.9481 0.0000 0.0000
0.0000 0.0000 2.9811
2.9481 0.0000 5.9236
0.0000 2.9481 0.0000
0.0000 2.9481 5.9236
0.0000 0.0000 20.7131
0.0000 0.0000 8.8719
0.0000 0.0000 14.8224

=====

[11]
Ba5Y3 PBE relaxed; M_tot = 0.00 μB/f.u.; energy of formation from the pure elements = 23.2 kJ/mol of atoms; space-group type = No. 65
1.0
6.6277 -6.6704 0.0000
6.6277 6.6704 0.0000
0.0000 0.0000 4.3287
Ba Y
5 3
Cartesian
0.0000 0.0000 0.0000
3.3138 3.3352 0.0000
6.6277 3.0145 2.1643
3.3138 -3.3352 0.0000
6.6277 -3.0145 2.1643
3.7697 0.0000 2.1643
6.6277 0.0000 0.0000
9.4856 0.0000 2.1643

=====

[12]
Ba3Y PBE relaxed; M_tot = 0.00 μB/f.u.; energy of formation from the pure elements = 19.2 kJ/mol of atoms; space-group type = No. 44
1.0
-2.2766 6.7417 3.3791
2.2766 -6.7417 3.3791
2.2766 6.7417 -3.3791
Ba Y
3 1
Cartesian
0.0000 0.0000 0.0000
2.2766 3.6147 -0.0092
0.0000 3.1270 3.3699
0.0000 6.7417 0.0009

=====

[13]
Ba4Y PBE relaxed; M_tot = 0.00 μB/f.u.; energy of formation from the pure elements = 51.4 kJ/mol of atoms; space-group type = No. 139
1.0
-3.5847 3.5847 5.1523
3.5847 -3.5847 5.1523
3.5847 3.5847 -5.1523
Ba Y
4 1
Cartesian
0.0000 0.0000 1.6526
3.5847 0.0000 2.5762
0.0000 3.5847 2.5762
0.0000 0.0000 8.6520
0.0000 0.0000 5.1523

=====

[14]
Ba3Y PBE relaxed; M_tot = 0.97 μB/f.u.; energy of formation from the pure elements = 28.3 kJ/mol of atoms; space-group type = No. 25
1.0
3.8844 0.0000 0.0000
0.0000 4.0985 0.0000
0.0000 0.0000 13.2283
Ba Y
3 1
Cartesian
0.0000 0.0000 0.0000
0.0000 2.0492 3.7284
1.9422 2.0492 9.6895
1.9422 0.0000 6.4901

=====

[15]
BaY5 PBE relaxed; M_tot = 0.00 μB/f.u.; energy of formation from the pure elements = 12.5 kJ/mol of atoms; space-group type = No. 38
1.0
5.8669 0.0000 0.0000
0.0000 1.8428 9.8386
0.0000 -1.8428 9.8386
Ba Y
1 5
Cartesian
0.0000 0.0000 0.0000
0.0000 0.0000 6.4357
0.0000 0.0000 13.2703
2.9334 0.0000 4.4663
2.9334 0.0000 11.1666
2.9334 0.0000 17.4280

=====

[16]
Ba4Y5 PBE relaxed; M_tot = 0.02 μB/f.u.; energy of formation from the pure elements = 24.1 kJ/mol of atoms; space-group type = No. 139
1.0
-5.8229 5.8229 2.7965
5.8229 -5.8229 2.7965
5.8229 5.8229 -2.7965
Ba Y
4 5
Cartesian
3.7130 0.0000 0.0000
7.9329 0.0000 0.0000
0.0000 3.7130 0.0000
0.0000 7.9329 0.0000
0.0000 0.0000 0.0000
4.0338 4.0338 0.0000
1.7891 -1.7891 2.7965
-1.7891 1.7891 2.7965
1.7891 1.7891 2.7965

=====

[17]
BaY2Zn PBE relaxed; M_tot = 0.00 μB/f.u.; energy of formation from the pure elements = 25.0 kJ/mol of atoms; space-group type = No. 139
1.0
-2.4634 2.4634 5.2198
2.4634 -2.4634 5.2198
2.4634 2.4634 -5.2198
Ba Y Zn
1 2 1
Cartesian
0.0000 0.0000 0.0000
2.4634 0.0000 2.6099
0.0000 2.4634 2.6099
0.0000 0.0000 5.2198

=====

[18]
BaYZn3 PBE relaxed; M_tot = 0.00 μB/f.u.; energy of formation from the pure elements = 22.8 kJ/mol of atoms; space-group type = No. 221
1.0
5.5369 0.0000 0.0000
0.0000 5.5369 0.0000
0.0000 0.0000 5.5369
Ba Y Zn
1 1 3
Cartesian
0.0000 0.0000 0.0000
2.7685 2.7685 2.7685
0.0000 2.7685 2.7685
2.7685 0.0000 2.7685
2.7685 2.7685 0.0000

=====

[19]
BaY2Zn PBE relaxed; M_tot = 0.00 μB/f.u.; energy of formation from the pure elements = 56.7 kJ/mol of atoms; space-group type = No. 141
1.0
-3.1070 3.1070 9.5778
3.1070 -3.1070 9.5778
3.1070 3.1070 -9.5778
Ba Y Zn
2 4 2
Cartesian
3.1070 1.5535 2.3944
0.0000 1.5535 7.1833
0.0000 0.0000 0.0000
1.5535 1.5535 -4.7889
1.5535 -1.5535 4.7889
0.0000 3.1070 0.0000
3.1070 -1.5535 7.1833
0.0000 4.6605 2.3944

=====

[20]
BaY2Zn PBE relaxed; M_tot = 0.00 μB/f.u.; energy of formation from the pure elements = 22.9 kJ/mol of atoms; space-group type = No. 12
1.0
3.4489 -6.1124 0.0000
3.4489 6.1124 0.0000
-1.7877 0.0000 3.1248
Ba Y Zn
1 2 1
Cartesian
0.0000 0.0000 0.0000
0.8306 3.0562 1.5624
0.8306 -3.0562 1.5624
3.4489 0.0000 0.0000